# 1
First-principles (PBE) data for NaCuTeN2 after structural relaxation, as listed in Alexandria.

Unit cell a=4.1306 b=4.1306 c=5.5678 alpha=90.00 beta=90.00 gamma=90.00
With the nearest neighbours (Å) after each atom.
Positions (direct):
Na (0.0000, 0.0000, 0.0000)  4 N 2.07
Cu (0.5000, 0.5000, 0.5000)  4 Te 2.92
Te (0.0000, 0.0000, 0.5000)  2 Na 2.78, 4 Cu 2.92
N (0.0000, 0.5000, 0.0000)  2 Na 2.07
N (0.5000, 0.0000, 0.0000)  2 Na 2.07

Results
symmetry	No. 123
energy above the lowest structure with this stoichiometry	913.3	meV/atom
formation energy without anion corrections	11.43	eV/f.u.


# 2
First-principles (PBE) data for NaCuTeN2 after structural relaxation, as listed in Alexandria.

Unit cell a=3.9892 b=3.9892 c=5.2816 alpha=90.00 beta=90.00 gamma=90.00
With the nearest neighbours (Å) after each atom.
Positions (direct):
Na (0.0000, 0.0000, 0.0000)  4 Te 2.82
Cu (0.5000, 0.5000, 0.5000)  4 N 1.99
Te (0.5000, 0.5000, 0.0000)  2 Cu 2.64, 4 Na 2.82
N (0.0000, 0.5000, 0.5000)  2 Cu 1.99
N (0.5000, 0.0000, 0.5000)  2 Cu 1.99

Results
symmetry	No. 123
energy above the lowest structure with this stoichiometry	0.0	meV/atom
formation energy without anion corrections	6.86	eV/f.u.


# 3
First-principles (PBE) data for Na3U3CuN8 after structural relaxation, as listed in Alexandria.

Unit cell a=6.9985 b=6.9985 c=6.7161 alpha=118.48 beta=118.48 gamma=55.41
With the nearest neighbours (Å) after each atom.
Positions (direct):
Na (0.0000, 0.0000, 0.0000)  6 N 2.63-2.87
Na (0.0000, 0.5000, 0.0000)  4 N 2.52-2.68
Na (0.5000, 0.0000, 0.0000)  4 N 2.52-2.68
U (0.0000, 0.5000, 0.5000)  6 N 2.07-2.31
U (0.5000, 0.0000, 0.5000)  6 N 2.07-2.31
U (0.5000, 0.5000, 0.5000)  6 N 2.14-2.37
Cu (0.0000, 0.0000, 0.5000)  4 N 2.04
N (0.2070, 0.7282, 0.6566)  1 Cu 2.04, 1 U 2.14
N (0.2718, 0.7930, 0.3434)  1 Cu 2.04, 1 U 2.14
N (0.2743, 0.2743, 0.3073)  3 U 2.20-2.37
N (0.2767, 0.2767, 0.7130)  2 U 2.07
N (0.7233, 0.7233, 0.2870)  2 U 2.07
N (0.7257, 0.7257, 0.6927)  3 U 2.20-2.37
N (0.7282, 0.2070, 0.6566)  1 Cu 2.04, 1 U 2.14
N (0.7930, 0.2718, 0.3434)  1 Cu 2.04, 1 U 2.14

Results
symmetry	No. 12
formation energy without anion corrections	-9.90	eV/f.u.


# 4
First-principles (PBE) data for Na4U3CuN8 after structural relaxation, as listed in Alexandria.

Unit cell a=6.9900 b=6.9900 c=6.7510 alpha=118.78 beta=118.78 gamma=56.51
With the nearest neighbours (Å) after each atom.
Positions (direct):
Na (0.0000, 0.0000, 0.0000)  6 N 2.43-2.58
Na (0.0000, 0.5000, 0.5000)  4 N 2.56-2.66
Na (0.5000, 0.0000, 0.5000)  4 N 2.56-2.66
Na (0.5000, 0.5000, 0.0000)  6 N 2.64-2.83
U (0.0000, 0.0000, 0.5000)  6 N 2.15-2.35
U (0.0000, 0.5000, 0.0000)  6 N 2.11-2.27
U (0.5000, 0.0000, 0.0000)  6 N 2.11-2.27
Cu (0.5000, 0.5000, 0.5000)  4 N 2.21
N (0.2113, 0.7245, 0.2634)  2 U 2.15-2.27, 1 Cu 2.21
N (0.2268, 0.2268, 0.7641)  3 U 2.20-2.35
N (0.2324, 0.2324, 0.1753)  2 U 2.11
N (0.2755, 0.7887, 0.7366)  2 U 2.15-2.27, 1 Cu 2.21
N (0.7245, 0.2113, 0.2634)  2 U 2.15-2.27, 1 Cu 2.21
N (0.7676, 0.7676, 0.8247)  2 U 2.11
N (0.7732, 0.7732, 0.2359)  3 U 2.20-2.35
N (0.7887, 0.2755, 0.7366)  2 U 2.15-2.27, 1 Cu 2.21

Results
symmetry	No. 12
formation energy without anion corrections	-11.63	eV/f.u.


Q: formation energy without anion corrections of number 2 (NaCuTeN2)?
A: 6.86 eV/f.u.


Q: Which formula does entry 2 have?
A: NaCuTeN2